No. 1
VASP calculation (PBE) on crystalline LuHgPd at its relaxed geometry.

## Properties
* V: 71.94 Å³/cell
* SG: F-43m (216)
* energy relative to the elements: -0.30 eV per atom

abc: 4.6683 4.6683 4.6683
angles: 60.00 60.00 60.00
Closest atoms and distances in Å follow each position.
Positions (direct):
Lu 0.0000 0.0000 0.0000  4 Hg 2.86
Hg 0.2500 0.2500 0.2500  4 Pd 2.86, 4 Lu 2.86
Pd 0.5000 0.5000 0.5000  4 Hg 2.86

***

No. 2
VASP calculation (PBE) on crystalline Sr2Cu3Si2Ni at its relaxed geometry.

## Properties
* V: 154.96 Å³/cell
* SG: P3m1 (156)

abc: 4.1191 4.1191 10.5457
angles: 90.00 90.00 120.00
Closest atoms and distances in Å follow each position.
Positions (direct):
Sr 0.0000 0.0000 0.0000  5 Cu 3.02-3.27, 3 Ni 3.27
Sr 0.3333 0.6667 0.4986  1 Ni 3.02, 7 Cu 3.04-3.27
Cu 0.0000 0.0000 0.2865  3 Si 2.41, 3 Ni 2.50
Cu 0.0000 0.0000 0.7116  3 Si 2.41, 3 Cu 2.51
Cu 0.3333 0.6667 0.7865  3 Si 2.41, 3 Cu 2.51
Si 0.6667 0.3333 0.2480  3 Ni 2.41, 3 Cu 2.41
Si 0.6667 0.3333 0.7490  6 Cu 2.41
Ni 0.3333 0.6667 0.2126  3 Si 2.41, 3 Cu 2.50

***

| no. | VASP energy (eV per atom) |
| --- | --- |
| 1 | -3.6333 |
| 2 | -4.2049 |